## a
Compound: TbPm2Sm8
Source: Alexandria via LeMat-Bulk
Functional: PBE
Structure: relaxed

Structure (POSCAR):
```
TbPm2Sm8
1.0
-4.6541 0.2358 2.1364
1.5727 -6.7806 4.1744
5.1671 6.7972 4.3558
Sm Pm Tb
8 2 1
Cartesian
1.0554 0.6547 2.2270 Sm
0.1334 -3.5362 6.8317 Sm
0.6836 4.5636 7.1365 Sm
1.0303 -0.4024 8.4396 Sm
-1.1004 -1.7042 3.9417 Sm
1.4020 -4.3112 3.5301 Sm
1.9522 3.7885 3.8349 Sm
3.1860 1.9566 6.7249 Sm
2.2904 -1.1760 5.1193 Pm
-0.2047 1.4283 5.5472 Pm
-2.3271 0.1179 1.0682 Tb
```

Properties
- crystal system = monoclinic
- SG = C2/m, No. 12

## b
Compound: TbPm2Sm8
Source: Alexandria via LeMat-Bulk
Functional: PBE
Structure: relaxed

Structure (POSCAR):
```
TbPm2Sm8
1.0
-1.0129 -0.2635 6.6788
0.6725 -8.9990 5.0566
6.3687 -5.4511 6.0604
Sm Pm Tb
8 2 1
Cartesian
2.5543 -9.3969 7.8283 Sm
3.4136 -8.7166 11.4375 Sm
5.2591 -7.7122 8.3049 Sm
3.4740 -5.3167 9.9675 Sm
0.8844 -3.7437 8.2137 Sm
0.7693 -7.0013 9.4909 Sm
2.6148 -5.9970 6.3583 Sm
5.1440 -10.9698 9.5820 Sm
0.9860 -2.9752 4.9205 Pm
5.0423 -11.7383 12.8752 Pm
0.0000 0.0000 0.0000 Tb
```

Properties
- crystal system = monoclinic
- SG = C2/m, No. 12

Most stable to least stable: a, b